1.
First-principles (GGA-PBE) data for an optimized crystal structure of TbScBe2Si2, as listed in OQMD via LeMat-Bulk.

Properties
Calculated total energy in eV for the cell shown: -33.1
Calculated density in g/cm³: 4.72

a b c (Å): 3.8237 3.8237 7.7225
angles (deg): 90.00 90.00 120.00
With the nearest neighbours (Å) after each atom.
Positions (direct):
Be  0.6667  0.3333  0.2660  3 Si 2.21
Be  0.3333  0.6667  0.7340  3 Si 2.21
Sc  0.0000  0.0000  0.5000  6 Be 2.85, 6 Si 2.86
Si  0.3333  0.6667  0.2649  3 Be 2.21
Si  0.6667  0.3333  0.7351  3 Be 2.21
Tb  0.0000  0.0000  0.0000  6 Si 3.01, 6 Be 3.02

2.
First-principles (GGA-PBE) data for an optimized crystal structure of ScBeFeSi, as listed in OQMD via LeMat-Bulk.

Properties
Energy above the most stable polymorph in this dataset in meV per atom: 253
Calculated density in g/cm³: 4.37

a b c (Å): 4.1997 4.1997 4.1997
angles (deg): 60.00 60.00 60.00
With the nearest neighbours (Å) after each atom.
Positions (direct):
Be  0.0000  0.0000  0.0000  4 Fe 2.57, 4 Si 2.57
Fe  0.7500  0.7500  0.7500  4 Sc 2.57, 4 Be 2.57
Sc  0.5000  0.5000  0.5000  4 Fe 2.57, 4 Si 2.57
Si  0.2500  0.2500  0.2500  4 Sc 2.57, 4 Be 2.57

3.
First-principles (GGA-PBE) data for an optimized crystal structure of PrIr2Pb2, as listed in OQMD via LeMat-Bulk.

Properties
Calculated total energy in eV for the cell shown: -29.8
Calculated density in g/cm³: 13.20

a b c (Å): 6.7357 6.7357 6.7357
angles (deg): 141.37 141.37 55.77
With the nearest neighbours (Å) after each atom.
Positions (direct):
Ir  0.7500  0.2500  0.5000  4 Pb 2.69
Ir  0.2500  0.7500  0.5000  4 Pb 2.69
Pb  0.3762  0.3762  0.0000  4 Ir 2.69, 1 Pb 2.95
Pb  0.6238  0.6238  0.0000  4 Ir 2.69, 1 Pb 2.95
Pr  0.0000  0.0000  0.0000  8 Pb 3.48, 8 Ir 3.72

4.
First-principles (GGA-PBE) data for an optimized crystal structure of DyGePO, as listed in OQMD via LeMat-Bulk.

Properties
Energy above the most stable polymorph in this dataset in meV per atom: 60
Calculated density in g/cm³: 6.00

a b c (Å): 3.7304 6.0996 6.8636
angles (deg): 90.00 90.00 90.00
With the nearest neighbours (Å) after each atom.
Positions (direct):
Dy  0.0000  0.7312  0.4766  2 O 2.19
Dy  0.0000  0.2688  0.9766  2 O 2.19
Ge  0.5000  0.8826  0.0706  1 O 1.90
Ge  0.5000  0.1174  0.5706  1 O 1.90
O  0.5000  0.7255  0.3101  1 Ge 1.90
O  0.5000  0.2745  0.8101  1 Ge 1.90
P  0.0000  0.2724  0.3966  2 Ge 2.41
P  0.0000  0.7276  0.8966  2 Ge 2.41

5.
First-principles (GGA-PBE) data for an optimized crystal structure of Hf2PtPb, as listed in OQMD via LeMat-Bulk.

Properties
Calculated total energy in eV for the cell shown: -29.4
Calculated density in g/cm³: 15.04

a b c (Å): 4.9125 4.9125 4.9125
angles (deg): 60.00 60.00 60.00
With the nearest neighbours (Å) after each atom.
Positions (direct):
Hf  0.0000  0.0000  0.0000  4 Pt 3.01, 4 Hf 3.01
Hf  0.7500  0.7500  0.7500  4 Hf 3.01, 4 Pb 3.01
Pb  0.5000  0.5000  0.5000  4 Pt 3.01, 4 Hf 3.01
Pt  0.2500  0.2500  0.2500  4 Pb 3.01, 4 Hf 3.01

6.
First-principles (GGA-PBE) data for an optimized crystal structure of LaAgPO, as listed in OQMD via LeMat-Bulk.

Properties
Energy above the most stable polymorph in this dataset in meV per atom: 374
Calculated density in g/cm³: 5.34

a b c (Å): 3.9369 7.6742 6.0484
angles (deg): 90.00 90.00 90.00
With the nearest neighbours (Å) after each atom.
Positions (direct):
Ag  0.5000  0.1582  0.4418  1 O 2.25, 2 P 2.43
Ag  0.5000  0.8418  0.9418  1 O 2.25, 2 P 2.43
La  0.0000  0.7312  0.4407  2 O 2.22
La  0.0000  0.2688  0.9407  2 O 2.22
O  0.5000  0.8645  0.4314  2 La 2.22, 1 Ag 2.25
O  0.5000  0.1355  0.9314  2 La 2.22, 1 Ag 2.25
P  0.0000  0.3445  0.4401  2 Ag 2.43
P  0.0000  0.6555  0.9401  2 Ag 2.43

7.
First-principles (GGA-PBE) data for an optimized crystal structure of GdInPd, as listed in OQMD via LeMat-Bulk.

Properties
Calculated total energy in eV for the cell shown: -43.2
Calculated density in g/cm³: 9.25

a b c (Å): 7.2367 7.2367 4.4936
angles (deg): 90.00 90.00 120.00
With the nearest neighbours (Å) after each atom.
Positions (direct):
Gd  0.5616  0.0000  0.0000  5 In 3.10-3.17, 2 Pd 3.24
Gd  0.4384  0.4384  0.0000  5 In 3.10-3.17, 2 Pd 3.24
Gd  0.0000  0.5616  0.0000  5 In 3.10-3.17, 2 Pd 3.24
In  0.0000  0.0000  0.0000  6 Pd 2.84, 3 Gd 3.17
In  0.6667  0.3333  0.5000  3 Pd 2.81, 6 Gd 3.10
In  0.3333  0.6667  0.5000  3 Pd 2.81, 6 Gd 3.10
Pd  0.2394  0.0000  0.5000  4 In 2.81-2.84, 2 Pd 3.00
Pd  0.0000  0.2394  0.5000  4 In 2.81-2.84, 2 Pd 3.00
Pd  0.7606  0.7606  0.5000  4 In 2.81-2.84, 2 Pd 3.00

8.
First-principles (GGA-PBE) data for an optimized crystal structure of LaDyGa2, as listed in OQMD via LeMat-Bulk.

Properties
Energy above the most stable polymorph in this dataset in meV per atom: 0
Calculated density in g/cm³: 7.22

a b c (Å): 6.7776 6.7776 6.8907
angles (deg): 90.00 90.00 140.17
With the nearest neighbours (Å) after each atom.
Positions (direct):
Dy  0.2195  0.7805  0.2500  6 Ga 3.04-3.13
Dy  0.7805  0.2195  0.7500  6 Ga 3.04-3.13
Ga  0.6022  0.3978  0.0622  2 Ga 2.59-2.74
Ga  0.6022  0.3978  0.4378  2 Ga 2.59-2.74
Ga  0.3978  0.6022  0.5622  2 Ga 2.59-2.74
Ga  0.3978  0.6022  0.9378  2 Ga 2.59-2.74
La  0.9383  0.0617  0.2500  8 Ga 3.20-3.37
La  0.0617  0.9383  0.7500  8 Ga 3.20-3.37

9.
First-principles (GGA-PBE) data for an optimized crystal structure of CoBi2, as listed in OQMD via LeMat-Bulk.

Properties
Calculated total energy in eV for the cell shown: -28.9
Calculated density in g/cm³: 11.81

a b c (Å): 5.6065 5.6065 5.6065
angles (deg): 106.02 116.61 106.02
With the nearest neighbours (Å) after each atom.
Positions (direct):
Bi  0.3301  0.5000  0.1699  4 Co 2.91, 1 Bi 3.24
Bi  0.8301  0.1602  0.3301  4 Co 2.91, 1 Bi 3.24
Bi  0.1699  0.8398  0.6699  4 Co 2.91, 1 Bi 3.24
Bi  0.6699  0.5000  0.8301  4 Co 2.91, 1 Bi 3.24
Co  0.2500  0.0000  0.2500  8 Bi 2.91, 2 Co 2.95
Co  0.7500  0.0000  0.7500  8 Bi 2.91, 2 Co 2.95

10.
First-principles (GGA-PBE) data for an optimized crystal structure of Li2GaPt, as listed in OQMD via LeMat-Bulk.

Properties
Calculated total energy in eV for the cell shown: -15.6
Calculated density in g/cm³: 8.36

a b c (Å): 4.2779 4.2779 4.2779
angles (deg): 60.00 60.00 60.00
With the nearest neighbours (Å) after each atom.
Positions (direct):
Ga  0.5000  0.5000  0.5000  4 Li 2.62, 4 Pt 2.62
Li  0.0000  0.0000  0.0000  4 Li 2.62, 4 Pt 2.62
Li  0.7500  0.7500  0.7500  4 Ga 2.62, 4 Li 2.62
Pt  0.2500  0.2500  0.2500  4 Ga 2.62, 4 Li 2.62

What is the calculated density in the seventh record?
9.25 g/cm³

Which of these has the highest calculated density?
Hf2PtPb

calculated density of number 1 (TbScBe2Si2)?
4.72 g/cm³

Number 4 is which compound?
DyGePO